1.
# Tm2Ga4Rh3 PBE optimized geometry
# VASP energy in eV per cell: -49.376
# Space-group type: Fmmm (69)
# Energy of formation in eV per atom: -0.697
data_Tm2Ga4Rh3
_cell_length_a 5.453
_cell_length_b 5.453
_cell_length_c 6.847
_cell_angle_alpha 101.46
_cell_angle_beta 101.46
_cell_angle_gamma 120.08
_space_group_name_H-M_alt 'P 1'
_space_group_IT_number 1
loop_
_space_group_symop_operation_xyz
'x,y,z'
loop_
_atom_site_label
_atom_site_fract_x
_atom_site_fract_y
_atom_site_fract_z
_atom_site_occupancy
Ga1 0.994 0.331 0.325 1
Ga2 0.006 0.669 0.675 1
Ga3 0.669 0.006 0.675 1
Ga4 0.331 0.994 0.325 1
Tm1 0.625 0.625 0.251 1
Tm2 0.375 0.375 0.749 1
Rh1 0.000 0.000 0.000 1
Rh2 0.500 0.000 0.000 1
Rh3 0.000 0.500 0.000 1

2.
# Tm2Ga9Rh PBE optimized geometry
# VASP energy in eV per cell: -48.484
# Space-group type: P4/mmm (123)
# Energy of formation in eV per atom: -0.412
data_Tm2Ga9Rh
_cell_length_a 4.219
_cell_length_b 4.219
_cell_length_c 12.121
_cell_angle_alpha 90.00
_cell_angle_beta 90.00
_cell_angle_gamma 90.00
_space_group_name_H-M_alt 'P 1'
_space_group_IT_number 1
loop_
_space_group_symop_operation_xyz
'x,y,z'
loop_
_atom_site_label
_atom_site_fract_x
_atom_site_fract_y
_atom_site_fract_z
_atom_site_occupancy
Ga1 0.000 0.500 0.500 1
Ga2 0.500 0.000 0.142 1
Ga3 0.000 0.500 0.858 1
Ga4 0.500 0.500 0.335 1
Ga5 0.500 0.500 0.665 1
Ga6 0.500 0.500 0.000 1
Ga7 0.500 0.000 0.858 1
Ga8 0.500 0.000 0.500 1
Ga9 0.000 0.500 0.142 1
Tm1 0.000 0.000 0.683 1
Tm2 0.000 0.000 0.317 1
Rh1 0.000 0.000 0.000 1